A relaxed KOsPb2 crystal. Source: Alexandria via LeMat-Bulk, functional PBEsol.

a b c (Å): 7.9348 3.3220 8.2303
angles (deg): 90.00 98.05 90.00
With the nearest neighbours (Å) after each atom.
Space group C2/m (No. 12)
Symmetry-distinct sites (fractional):
1 K 0.0000 0.0000 0.0000 (multiplicity 2)  2 K 3.32, 6 Pb 3.39-3.53
2 Os 0.0000 0.5000 0.5000 (multiplicity 2)  6 Pb 2.77-2.78
3 Pb 0.2317 0.0000 0.6845 (multiplicity 4)  3 Os 2.77-2.78

Summary:
formation energy: 0.5255 eV per atom
N(E_F): 6.921 states/eV/cell
magnetic moment: 0.000 Bohr magnetons per cell

=====

A relaxed Rb2PrAgI6 crystal. Source: Alexandria via LeMat-Bulk, functional PBEsol.

a b c (Å): 12.0245 12.0245 12.0245
angles (deg): 90.00 90.00 90.00
With the nearest neighbours (Å) after each atom.
Space group Fm-3m (No. 225)
Symmetry-distinct sites (fractional):
1 Rb 0.2500 0.2500 0.2500 (multiplicity 8)  12 I 4.25
2 Pr 0.0000 0.0000 0.0000 (multiplicity 4)  6 I 3.08
3 Ag 0.0000 0.0000 0.5000 (multiplicity 4)  6 I 2.94
4 I 0.0000 0.0000 0.2558 (multiplicity 24)  1 Ag 2.94, 1 Pr 3.08

Summary:
raw formation energy: -1.14 eV per atom
N(E_F): 0.000 states/eV/cell
magnetic moment: 0.000 Bohr magnetons per cell

=====

A relaxed YTlPt crystal. Source: Alexandria via LeMat-Bulk, functional PBEsol.

a b c (Å): 6.6176 6.6176 6.6176
angles (deg): 90.00 90.00 90.00
With the nearest neighbours (Å) after each atom.
Space group F-43m (No. 216)
Symmetry-distinct sites (fractional):
1 Y 0.0000 0.0000 0.0000 (multiplicity 4)  4 Tl 2.87
2 Tl 0.2500 0.2500 0.2500 (multiplicity 4)  4 Pt 2.87, 4 Y 2.87
3 Pt 0.0000 0.0000 0.5000 (multiplicity 4)  4 Tl 2.87

Summary:
formation energy: -0.2021 eV per atom
N(E_F): 17.480 states/eV/cell
magnetic moment: 0.004 Bohr magnetons per cell

=====

A relaxed LaBSb2Te crystal. Source: Alexandria via LeMat-Bulk, functional PBEsol.

a b c (Å): 5.9565 5.9565 5.9729
angles (deg): 90.00 90.00 90.00
With the nearest neighbours (Å) after each atom.
Space group P4/mmm (No. 123)
Symmetry-distinct sites (fractional):
1 La 0.0000 0.0000 0.0000 (multiplicity 1)  4 Sb 2.98, 2 Te 2.99
2 B 0.5000 0.5000 0.5000 (multiplicity 1)  4 Te 4.21, 8 Sb 4.22
3 Sb 0.0000 0.5000 0.0000 (multiplicity 2)  2 La 2.98
4 Te 0.0000 0.0000 0.5000 (multiplicity 1)  2 La 2.99

Summary:
raw formation energy: 1.40 eV per atom
N(E_F): 5.040 states/eV/cell
magnetic moment: 0.001 Bohr magnetons per cell

=====

A relaxed Ca2NiSe crystal. Source: Alexandria via LeMat-Bulk, functional PBEsol.

a b c (Å): 4.0174 4.0174 20.4669
angles (deg): 90.00 90.00 120.00
With the nearest neighbours (Å) after each atom.
Space group R-3m (No. 166, hexagonal axes)
Symmetry-distinct sites (fractional):
1 Ca 0.0000 0.0000 0.2490 (multiplicity 6)  3 Ni 2.87, 3 Se 2.89
2 Ni 0.0000 0.0000 0.5000 (multiplicity 3)  6 Ca 2.87
3 Se 0.0000 0.0000 0.0000 (multiplicity 3)  6 Ca 2.89

Summary:
raw formation energy: -0.76 eV per atom
N(E_F): 7.115 states/eV/cell
magnetic moment: 0.189 Bohr magnetons per cell

=====

A relaxed ReAgCl2 crystal. Source: Alexandria via LeMat-Bulk, functional PBEsol.

a b c (Å): 2.8669 4.2337 5.7273
angles (deg): 90.00 90.00 90.00
With the nearest neighbours (Å) after each atom.
Space group Pmmm (No. 47)
Symmetry-distinct sites (fractional):
1 Re 0.0000 0.0000 0.0000 (multiplicity 1)  4 Cl 2.56
2 Ag 0.5000 0.0000 0.5000 (multiplicity 1)  4 Cl 2.56
3 Cl 0.0000 0.5000 0.5000 (multiplicity 1)  4 Ag 2.56
4 Cl 0.5000 0.5000 0.0000 (multiplicity 1)  4 Re 2.56

Summary:
raw formation energy: 0.83 eV per atom
N(E_F): 3.089 states/eV/cell
magnetic moment: 2.124 Bohr magnetons per cell

=====

A relaxed ZnRe2W crystal. Source: Alexandria via LeMat-Bulk, functional PBEsol.

a b c (Å): 3.8222 3.8222 7.9595
angles (deg): 90.00 90.00 90.00
With the nearest neighbours (Å) after each atom.
Space group I-4m2 (No. 119)
Symmetry-distinct sites (fractional):
1 Zn 0.0000 0.0000 0.0000 (multiplicity 2)  8 Re 2.70-2.76, 4 W 2.76
2 Re 0.0000 0.0000 0.5000 (multiplicity 2)  4 Zn 2.70, 4 W 2.76, 4 Re 2.76
3 Re 0.0000 0.5000 0.2500 (multiplicity 2)  4 W 2.70, 4 Re 2.76, 4 Zn 2.76
4 W 0.0000 0.5000 0.7500 (multiplicity 2)  8 Re 2.70-2.76, 4 Zn 2.76

Summary:
formation energy: 0.2968 eV per atom
N(E_F): 6.954 states/eV/cell
magnetic moment: 0.000 Bohr magnetons per cell

=====

A relaxed ZnH2Pd2 crystal. Source: Alexandria via LeMat-Bulk, functional PBEsol.

a b c (Å): 3.1070 3.1070 10.0401
angles (deg): 90.00 90.00 90.00
With the nearest neighbours (Å) after each atom.
Space group I4/mmm (No. 139)
Symmetry-distinct sites (fractional):
1 Zn 0.0000 0.0000 0.0000 (multiplicity 2)  8 Pd 2.64, 8 H 2.95
2 H 0.0000 0.5000 0.2500 (multiplicity 4)  4 Pd 1.87
3 Pd 0.0000 0.0000 0.3538 (multiplicity 4)  4 H 1.87

Summary:
DFT total energy: -4.2820 eV per atom
N(E_F): 1.862 states/eV/cell
magnetic moment: 0.000 Bohr magnetons per cell